[1]
## YAgSe2 (PBE)

Data for a geometry-optimized YAgSe2 structure.

## Properties
crystal system: monoclinic
raw formation energy: -1.173 eV/atom
final energy: -5.244 eV/atom

Cell lengths 4.1773, 4.1773, 6.9407 Å; angles 108.00, 108.00, 59.94 degrees
With the nearest neighbours (Å) after each atom.
Fractional positions:
Y 0.0000 0.0000 0.0000  6 Se 2.89
Ag 0.5000 0.5000 0.5000  6 Se 2.91-2.95
Se 0.2493 0.2493 0.7541  3 Y 2.89, 3 Ag 2.91-2.95
Se 0.7507 0.7507 0.2459  3 Y 2.89, 3 Ag 2.91-2.95

---

[2]
## YAgSe2 (PBE)

Data for a geometry-optimized YAgSe2 structure.

## Properties
crystal system: orthorhombic
raw formation energy: -1.133 eV/atom
final energy: -5.204 eV/atom

Cell lengths 4.2652, 5.3875, 4.1910 Å; angles 90.00, 90.00, 90.00 degrees
With the nearest neighbours (Å) after each atom.
Fractional positions:
Y 0.0000 0.0000 0.0000  6 Se 2.79-3.12
Ag 0.5000 0.5000 0.2093  4 Se 2.67-2.89
Se 0.0000 0.5000 0.8242  2 Ag 2.67, 2 Y 2.79
Se 0.5000 0.0000 0.4576  4 Y 2.87-3.12, 2 Ag 2.89

---

[3]
## Y2Ag2Se (PBE)

Data for a geometry-optimized Y2Ag2Se structure.

## Properties
crystal system: tetragonal
raw formation energy: -0.611 eV/atom
final energy: -5.034 eV/atom

Cell lengths 7.7088, 7.7088, 4.3180 Å; angles 90.00, 90.00, 90.00 degrees
With the nearest neighbours (Å) after each atom.
Fractional positions:
Y 0.1732 0.3268 0.0000  2 Se 2.85, 6 Ag 3.08-3.18
Y 0.3268 0.8268 0.0000  2 Se 2.85, 6 Ag 3.08-3.18
Y 0.6732 0.1732 0.0000  2 Se 2.85, 6 Ag 3.08-3.18
Y 0.8268 0.6732 0.0000  2 Se 2.85, 6 Ag 3.08-3.18
Ag 0.1259 0.6259 0.5000  1 Ag 2.75
Ag 0.3741 0.1259 0.5000  1 Ag 2.75
Ag 0.6259 0.8741 0.5000  1 Ag 2.75
Ag 0.8741 0.3741 0.5000  1 Ag 2.75
Se 0.0000 0.0000 0.0000  4 Y 2.85
Se 0.5000 0.5000 0.0000  4 Y 2.85

---

[4]
## YAgSe4 (PBE)

Data for a geometry-optimized YAgSe4 structure.

## Properties
crystal system: cubic
raw formation energy: 0.013 eV/atom
final energy: -3.862 eV/atom

Cell lengths 5.7569, 5.7569, 5.7569 Å; angles 60.00, 60.00, 60.00 degrees
With the nearest neighbours (Å) after each atom.
Fractional positions:
Y 0.0000 0.0000 0.0000  12 Se 3.38, 4 Ag 3.53
Ag 0.7500 0.7500 0.7500  12 Se 3.37, 4 Y 3.53
Se 0.3756 0.3756 0.3756  6 Se 2.86-2.89
Se 0.3756 0.3756 0.8732  6 Se 2.86-2.89
Se 0.3756 0.8732 0.3756  6 Se 2.86-2.89
Se 0.8732 0.3756 0.3756  6 Se 2.86-2.89

---

[5]
## Y2AgSe (PBE)

Data for a geometry-optimized Y2AgSe structure.

## Properties
crystal system: tetragonal
raw formation energy: -0.664 eV/atom
final energy: -5.480 eV/atom

Cell lengths 6.5629, 6.5629, 6.5629 Å; angles 108.57, 108.57, 111.30 degrees
With the nearest neighbours (Å) after each atom.
Fractional positions:
Y 0.1169 0.6250 0.9919  2 Se 2.82, 2 Ag 2.91
Y 0.3750 0.3669 0.4919  2 Se 2.82, 2 Ag 2.91
Y 0.6331 0.1250 0.0081  2 Se 2.82, 2 Ag 2.91
Y 0.8750 0.8831 0.5081  2 Se 2.82, 2 Ag 2.91
Ag 0.2500 0.7500 0.5000  4 Y 2.91
Ag 0.5000 0.5000 0.0000  4 Y 2.91
Se 0.0000 0.0000 0.0000  4 Y 2.82
Se 0.7500 0.2500 0.5000  4 Y 2.82

---

[6]
## YAgSe2 (PBE)

Data for a geometry-optimized YAgSe2 structure.

## Properties
crystal system: cubic
raw formation energy: -0.971 eV/atom
final energy: -5.042 eV/atom

Cell lengths 4.9875, 4.9875, 4.9875 Å; angles 60.00, 60.00, 60.00 degrees
With the nearest neighbours (Å) after each atom.
Fractional positions:
Y 0.0000 0.0000 0.0000  8 Se 3.05
Ag 0.5000 0.5000 0.5000  8 Se 3.05
Se 0.2500 0.2500 0.2500  4 Ag 3.05, 4 Y 3.05
Se 0.7500 0.7500 0.7500  4 Y 3.05, 4 Ag 3.05

---

[7]
## YAgSe (PBE)

Data for a geometry-optimized YAgSe structure.

## Properties
crystal system: tetragonal
raw formation energy: -0.779 eV/atom
final energy: -5.045 eV/atom

Cell lengths 6.2515, 6.2515, 6.2515 Å; angles 146.64, 146.64, 47.90 degrees
With the nearest neighbours (Å) after each atom.
Fractional positions:
Y 0.0000 0.0000 0.0000  4 Se 2.89
Ag 0.3205 0.3205 0.0000  4 Y 3.26, 5 Se 3.41-3.43, 4 Ag 3.59
Se 0.6207 0.6207 0.0000  4 Y 2.89

---

[8]
## Y5AgSe8 (PBE)

Data for a geometry-optimized Y5AgSe8 structure.

## Properties
crystal system: cubic
raw formation energy: -1.661 eV/atom
final energy: -6.165 eV/atom

Cell lengths 8.3937, 8.3937, 8.3937 Å; angles 60.00, 60.00, 60.00 degrees
With the nearest neighbours (Å) after each atom.
Fractional positions:
Y 0.0000 0.0000 0.0000  4 Se 2.75
Y 0.1395 0.6202 0.6202  6 Se 2.83-2.93
Y 0.6202 0.1395 0.6202  6 Se 2.83-2.93
Y 0.6202 0.6202 0.1395  6 Se 2.83-2.93
Y 0.6202 0.6202 0.6202  6 Se 2.83-2.93
Ag 0.2500 0.2500 0.2500  4 Se 2.70
Se 0.3814 0.3814 0.3814  1 Ag 2.70, 3 Y 2.83
Se 0.3814 0.3814 0.8558  1 Ag 2.70, 3 Y 2.83
Se 0.3814 0.8558 0.3814  1 Ag 2.70, 3 Y 2.83
Se 0.4006 0.8665 0.8665  4 Y 2.75-2.93
Se 0.8558 0.3814 0.3814  1 Ag 2.70, 3 Y 2.83
Se 0.8665 0.4006 0.8665  4 Y 2.75-2.93
Se 0.8665 0.8665 0.4006  4 Y 2.75-2.93
Se 0.8665 0.8665 0.8665  4 Y 2.75-2.93

---

[9]
## YAg3Se (PBE)

Data for a geometry-optimized YAg3Se structure.

## Properties
crystal system: cubic
raw formation energy: 0.296 eV/atom
final energy: -3.405 eV/atom

Cell lengths 5.0397, 5.0397, 5.0397 Å; angles 90.00, 90.00, 90.00 degrees
With the nearest neighbours (Å) after each atom.
Fractional positions:
Y 0.0000 0.0000 0.0000  12 Ag 3.56
Ag 0.0000 0.5000 0.5000  2 Se 2.52
Ag 0.5000 0.0000 0.5000  2 Se 2.52
Ag 0.5000 0.5000 0.0000  2 Se 2.52
Se 0.5000 0.5000 0.5000  6 Ag 2.52

---

[10]
## Y4Ag2Se (PBE)

Data for a geometry-optimized Y4Ag2Se structure.

## Properties
crystal system: tetragonal
raw formation energy: -0.409 eV/atom
final energy: -5.415 eV/atom

Cell lengths 8.0926, 8.0926, 8.0926 Å; angles 141.29, 141.29, 55.89 degrees
With the nearest neighbours (Å) after each atom.
Fractional positions:
Y 0.0000 0.5000 0.5000  2 Se 2.68
Y 0.1969 0.1969 0.0000  1 Ag 2.81, 1 Se 2.82
Y 0.5000 0.0000 0.5000  2 Se 2.68
Y 0.8031 0.8031 0.0000  1 Ag 2.81, 1 Se 2.82
Ag 0.3937 0.3937 0.0000  5 Y 2.81-3.08, 1 Ag 3.04
Ag 0.6063 0.6063 0.0000  5 Y 2.81-3.08, 1 Ag 3.04
Se 0.0000 0.0000 0.0000  6 Y 2.68-2.82

---

[11]
## YAgSe2 (PBE)

Data for a geometry-optimized YAgSe2 structure.

## Properties
crystal system: trigonal
raw formation energy: -1.083 eV/atom
final energy: -5.154 eV/atom

Cell lengths 7.3353, 7.3353, 7.3353 Å; angles 31.86, 31.86, 31.86 degrees
With the nearest neighbours (Å) after each atom.
Fractional positions:
Y 0.0000 0.0000 0.0000  6 Se 2.90-2.92
Ag 0.8337 0.8337 0.8337  6 Se 2.90
Se 0.2500 0.2500 0.2500  3 Ag 2.90, 3 Y 2.90
Se 0.4176 0.4176 0.4176  3 Ag 2.90, 3 Y 2.92

---

[12]
## YAgSe (PBE)

Data for a geometry-optimized YAgSe structure.

## Properties
crystal system: trigonal
raw formation energy: -0.818 eV/atom
final energy: -5.085 eV/atom

Cell lengths 4.0643, 4.0643, 5.4827 Å; angles 90.00, 90.00, 120.00 degrees
With the nearest neighbours (Å) after each atom.
Fractional positions:
Y 0.0000 0.0000 0.0000  3 Se 2.84, 3 Ag 3.10
Ag 0.6667 0.3333 0.3685  3 Se 3.00, 3 Y 3.10
Se 0.3333 0.6667 0.7096  3 Y 2.84, 3 Ag 3.00